1.
VASP calculation (PBEsol) on crystalline ReBiO4 at its relaxed geometry.

Values from the calculation:
Density of states at the Fermi level (states/eV per atom): 0.18
E_form (uncorrected) (eV per atom): -1.478

a b c (Å): 3.838 5.512 7.795
angles (deg): 90.00 104.25 90.00
Fractional positions:
Re1 0.084 0.750 0.167
Re2 0.916 0.250 0.833
Bi1 0.311 0.750 0.622
Bi2 0.689 0.250 0.378
O1 0.187 0.984 0.374
O2 0.813 0.016 0.626
O3 0.813 0.484 0.626
O4 0.187 0.516 0.374
O5 0.000 0.000 0.000
O6 0.000 0.500 0.000
O7 0.590 0.750 0.180
O8 0.410 0.250 0.820

***

2.
VASP calculation (PBEsol) on crystalline ReBiO5 at its relaxed geometry.

Values from the calculation:
Density of states at the Fermi level (states/eV per atom): 0.00
E_form (uncorrected) (eV per atom): -1.419

a b c (Å): 4.389 8.559 13.224
angles (deg): 90.00 90.00 95.90
Fractional positions:
Re1 0.070 0.889 0.704
Re2 0.930 0.111 0.296
Re3 0.430 0.611 0.204
Re4 0.570 0.389 0.796
Bi1 0.282 0.147 0.044
Bi2 0.718 0.853 0.956
Bi3 0.782 0.647 0.456
Bi4 0.218 0.353 0.544
O1 0.220 0.462 0.137
O2 0.342 0.267 0.880
O3 0.188 0.720 0.271
O4 0.733 0.416 0.517
O5 0.660 0.528 0.294
O6 0.160 0.028 0.206
O7 0.842 0.767 0.620
O8 0.158 0.233 0.380
O9 0.267 0.584 0.483
O10 0.280 0.038 0.637
O11 0.340 0.472 0.706
O12 0.780 0.538 0.863
O13 0.720 0.962 0.363
O14 0.840 0.972 0.794
O15 0.767 0.084 0.017
O16 0.233 0.916 0.983
O17 0.812 0.280 0.729
O18 0.658 0.733 0.120
O19 0.312 0.780 0.771
O20 0.688 0.220 0.229

***

3.
VASP calculation (PBEsol) on crystalline ReBi3O8 at its relaxed geometry.

Values from the calculation:
Density of states at the Fermi level (states/eV per atom): 0.00
E_form (uncorrected) (eV per atom): -1.408

a b c (Å): 9.922 9.922 9.922
angles (deg): 109.47 109.47 109.47
Fractional positions:
Re1 0.761 0.761 0.261
Re2 0.000 0.500 0.239
Re3 0.500 0.739 0.500
Re4 0.739 0.000 0.000
Bi1 0.246 0.214 0.239
Bi2 0.214 0.739 0.746
Bi3 0.739 0.246 0.714
Bi4 0.474 0.007 0.261
Bi5 0.493 0.468 0.754
Bi6 0.032 0.026 0.786
Bi7 0.026 0.286 0.532
Bi8 0.007 0.761 0.974
Bi9 0.468 0.254 0.993
Bi10 0.254 0.493 0.968
Bi11 0.286 0.032 0.526
Bi12 0.761 0.474 0.507
O1 0.938 0.938 0.438
O2 0.000 0.500 0.062
O3 0.500 0.562 0.500
O4 0.562 0.000 0.000
O5 0.813 0.685 0.112
O6 0.685 0.612 0.313
O7 0.612 0.813 0.185
O8 0.074 0.701 0.388
O9 0.799 0.372 0.187
O10 0.128 0.426 0.315
O11 0.426 0.815 0.628
O12 0.701 0.888 0.574
O13 0.372 0.687 0.299
O14 0.687 0.799 0.872
O15 0.815 0.128 0.926
O16 0.888 0.074 0.201
O17 0.458 0.458 0.958
O18 0.000 0.500 0.542
O19 0.500 0.042 0.500
O20 0.042 0.000 0.000
O21 0.250 0.271 0.021
O22 0.271 0.521 0.750
O23 0.521 0.250 0.771
O24 0.750 0.229 0.479
O25 0.979 0.750 0.729
O26 0.229 0.979 0.250
O27 0.750 0.473 0.723
O28 0.473 0.223 0.250
O29 0.223 0.750 0.973
O30 0.250 0.027 0.777
O31 0.277 0.250 0.527
O32 0.027 0.277 0.750

***

4.
VASP calculation (PBEsol) on crystalline Bi2Rh2O7 at its relaxed geometry.

Values from the calculation:
Density of states at the Fermi level (states/eV per atom): 0.56
E_form (uncorrected) (eV per atom): -1.088

a b c (Å): 7.241 7.241 7.241
angles (deg): 60.00 60.00 60.00
Fractional positions:
Bi1 0.125 0.625 0.625
Bi2 0.625 0.625 0.125
Bi3 0.625 0.625 0.625
Bi4 0.625 0.125 0.625
Rh1 0.625 0.125 0.125
Rh2 0.125 0.625 0.125
Rh3 0.125 0.125 0.125
Rh4 0.125 0.125 0.625
O1 0.750 0.750 0.750
O2 0.206 0.794 0.206
O3 0.044 0.044 0.456
O4 0.456 0.044 0.456
O5 0.794 0.794 0.206
O6 0.456 0.044 0.044
O7 0.794 0.206 0.794
O8 0.206 0.206 0.794
O9 0.206 0.794 0.794
O10 0.794 0.206 0.206
O11 0.044 0.456 0.044
O12 0.456 0.456 0.044
O13 0.500 0.500 0.500
O14 0.044 0.456 0.456

***

5.
VASP calculation (PBEsol) on crystalline Bi12Rh12O41 at its relaxed geometry.

Values from the calculation:
Density of states at the Fermi level (states/eV per atom): 0.49
E_form (uncorrected) (eV per atom): -1.089

a b c (Å): 7.198 10.196 12.477
angles (deg): 114.12 106.77 90.00
Fractional positions:
Bi1 0.923 0.932 0.845
Bi2 0.916 0.917 0.329
Bi3 0.413 0.917 0.329
Bi4 0.417 0.410 0.834
Bi5 0.248 0.253 0.495
Bi6 0.077 0.087 0.155
Bi7 0.759 0.239 0.000
Bi8 0.587 0.588 0.671
Bi9 0.241 0.239 0.000
Bi10 0.084 0.588 0.671
Bi11 0.583 0.576 0.166
Bi12 0.752 0.758 0.505
Rh1 0.416 0.915 0.832
Rh2 0.581 0.084 0.666
Rh3 0.085 0.084 0.666
Rh4 0.584 0.082 0.168
Rh5 0.750 0.251 0.499
Rh6 0.917 0.417 0.834
Rh7 0.419 0.418 0.334
Rh8 0.915 0.418 0.334
Rh9 0.083 0.583 0.166
Rh10 0.250 0.751 0.501
Rh11 0.750 0.747 0.000
Rh12 0.250 0.747 0.000
O1 0.222 0.807 0.863
O2 0.642 0.807 0.863
O3 0.333 0.751 0.667
O4 0.471 0.891 0.529
O5 0.665 0.789 0.330
O6 0.606 0.025 0.802
O7 0.058 0.891 0.529
O8 0.196 0.025 0.802
O9 0.834 0.003 0.669
O10 0.000 0.829 0.000
O11 0.333 0.166 0.666
O12 0.158 0.048 0.315
O13 0.112 0.277 0.808
O14 0.358 0.944 0.137
O15 0.971 0.141 0.529
O16 0.778 0.944 0.137
O17 0.696 0.277 0.808
O18 0.558 0.141 0.529
O19 0.667 0.084 0.333
O20 0.833 0.415 0.666
O21 0.500 0.082 0.000
O22 0.138 0.555 0.862
O23 0.529 0.362 0.471
O24 0.942 0.362 0.471
O25 0.724 0.555 0.862
O26 0.804 0.223 0.198
O27 0.394 0.223 0.198
O28 0.335 0.459 0.670
O29 0.166 0.334 0.331
O30 0.667 0.500 0.334
O31 0.500 0.347 0.000
O32 0.842 0.732 0.685
O33 0.304 0.469 0.192
O34 0.029 0.612 0.471
O35 0.888 0.469 0.192
O36 0.442 0.612 0.471
O37 0.000 0.420 0.000
O38 0.167 0.749 0.334
O39 0.862 0.693 0.138
O40 0.276 0.693 0.138
O41 0.500 0.667 0.000

***

6.
VASP calculation (PBEsol) on crystalline Bi2RuO at its relaxed geometry.

Values from the calculation:
Density of states at the Fermi level (states/eV per atom): 0.67
E_form (uncorrected) (eV per atom): 0.151

a b c (Å): 5.699 5.699 6.988
angles (deg): 114.06 114.06 90.00
Fractional positions:
Ru1 0.250 0.750 0.500
Ru2 0.000 0.000 0.000
Bi1 0.408 0.875 0.250
Bi2 0.842 0.375 0.250
Bi3 0.125 0.158 0.750
Bi4 0.625 0.592 0.750
O1 0.750 0.250 0.500
O2 0.500 0.500 0.000